No. 1
First-principles (GGA-PBE) data for a geometry-optimized Y2TaRe2 structure, as listed in the Alexandria database.

Computed properties:
mass density	11.14	g/cm³
DFT formation energy	1.04	eV per atom
DFT total energy	-88.9	eV per cell

Lattice parameters (Å, degrees): 4.073 4.073 13.139 90.00 90.00 90.00
Space group I4/mmm (No. 139)
Unique sites:
1 Y 0.000 0.500 0.250 x4
2 Ta 0.000 0.000 0.000 x2
3 Re 0.000 0.000 0.413 x4

No. 2
First-principles (GGA-PBE) data for a geometry-optimized YTa2Re structure, as listed in the Alexandria database.

Computed properties:
mass density	13.30	g/cm³
DFT formation energy	0.12	eV per atom
DFT total energy	-42.1	eV per cell

Lattice parameters (Å, degrees): 3.240 3.240 7.579 90.00 90.00 90.00
Space group P4mm (No. 99)
Unique sites:
1 Y 0.000 0.000 0.000 x1
2 Ta 0.000 0.000 0.457 x1
3 Ta 0.500 0.500 0.691 x1
4 Re 0.500 0.500 0.271 x1